Below is an optimized crystal structure of BePdPb3, with properties calculated at the GGA-PBE level.

It has space group Pm-3m (No. 221), with a = 5.004 Å, b = 5.004 Å, c = 5.004 Å, α = 90.00°, β = 90.00° and γ = 90.00°. The distinct sites, in fractional coordinates, are Be at (0.000, 0.000, 0.000), Pd at (0.500, 0.500, 0.500) and Pb at (0.000, 0.000, 0.500).

The spin magnetization is 0.00 μB per cell. The value obtained for the relative energy among the computed polymorphs is 0 meV per atom. The value obtained for the total energy is -0.262 Ry/atom. The energy of formation from the pure elements is 0.444 eV/atom.


Below is an optimized crystal structure of Be2PdPb, with properties calculated at the GGA-PBE level.

It has space group I-42d (No. 122), with a = 6.703 Å, b = 6.703 Å, c = 6.103 Å, α = 90.00°, β = 90.00° and γ = 90.00°. The distinct sites, in fractional coordinates, are Be at (0.192, 0.750, 0.125), Pd at (0.000, 0.000, 0.000) and Pb at (0.000, 0.000, 0.500).

The spin magnetization is 0.00 μB per cell. The value obtained for the total energy is -0.270 Ry/atom. The energy of formation from the pure elements is 0.412 eV/atom.


Below is an optimized crystal structure of BePd6Pb, with properties calculated at the GGA-PBE level.

It has space group C2/m (No. 12), with a = 7.823 Å, b = 5.644 Å, c = 7.322 Å, α = 90.00°, β = 121.97° and γ = 90.00°. The distinct sites, in fractional coordinates, are Be at (0.000, 0.000, 0.000), Pd at (0.128, 0.255, 0.269), Pd at (0.225, 0.500, 0.001) and Pb at (0.000, 0.000, 0.500).

The spin magnetization is 0.00 μB per cell. The value obtained for the total energy is -0.364 Ry/atom. The energy of formation from the pure elements is -0.124 eV/atom.


Below is an optimized crystal structure of Be2PdPb2, with properties calculated at the GGA-PBE level.

It has space group I4/mmm (No. 139), with a = 5.385 Å, b = 5.385 Å, c = 6.690 Å, α = 90.00°, β = 90.00° and γ = 90.00°. The distinct sites, in fractional coordinates, are Be at (0.000, 0.000, 0.157), Pd at (0.000, 0.000, 0.500) and Pb at (0.000, 0.500, 0.250).

The spin magnetization is 0.00 μB per cell. The value obtained for the relative energy among the computed polymorphs is 90 meV per atom. The value obtained for the total energy is -0.268 Ry/atom. The energy of formation from the pure elements is 0.370 eV/atom.